A relaxed PaTl2HgO8 crystal. Source: the Alexandria database, functional PBE.

Calculated values
Density (g/cm3): 8.71
Space-group type: I-4m2
Spin magnetization (μB per cell): 0.0
Formation energy (no corrections) (eV/atom): -0.9934

a = 6.2505 Å, b = 6.2505 Å, c = 6.2505 Å
α = 114.15°, β = 114.15°, γ = 100.47°
Atoms (fractional coordinates):
Pa (0.0000, 0.0000, 0.0000)
Tl (0.5000, 0.5000, 0.0000)
Tl (0.7500, 0.2500, 0.5000)
Hg (0.2500, 0.7500, 0.5000)
O (0.2719, 0.0877, 0.8158)
O (0.2719, 0.4560, 0.1842)
O (0.3485, 0.0460, 0.3024)
O (0.5440, 0.7281, 0.8158)
O (0.7436, 0.0460, 0.6976)
O (0.9123, 0.7281, 0.1842)
O (0.9540, 0.2564, 0.3024)
O (0.9540, 0.6515, 0.6976)